1.
Ba2Al3Au5: optimized geometry, PBE.

For the total energy, the calculation gives -36.4 eV per formula unit. As for the formation energy: -0.494 eV per atom. The calculation puts the total magnetization at 0.0 μB per formula unit.

It has space group P-4m2 (No. 115), with a = 4.5766 Å, b = 4.5766 Å, c = 11.4387 Å, α = 90.00°, β = 90.00° and γ = 90.00°. The asymmetric unit holds Ba at (0.0000, 0.5000, 0.2391), Al at (0.0000, 0.5000, 0.6231), Al at (0.5000, 0.5000, 0.5000), Au at (0.0000, 0.0000, 0.0000), Au at (0.0000, 0.0000, 0.5000), Au at (0.0000, 0.5000, 0.8450) and Au at (0.5000, 0.5000, 0.0000).

2.
Sm2BeGePt6: optimized geometry, PBE.

For the total energy, the calculation gives -60.4 eV per formula unit. As for the formation energy: -0.642 eV per atom. The calculation puts the total magnetization at 0.0 μB per formula unit.

It has space group Fm-3m (No. 225), with a = 9.1242 Å, b = 9.1242 Å, c = 9.1242 Å, α = 90.00°, β = 90.00° and γ = 90.00°. The asymmetric unit holds Sm at (0.2500, 0.2500, 0.2500), Be at (0.0000, 0.0000, 0.0000), Ge at (0.0000, 0.0000, 0.5000) and Pt at (0.0000, 0.0000, 0.2366).

3.
Cs2NiBr6Cl: optimized geometry, PBE.

For the total energy, the calculation gives -27.5 eV per formula unit. Its formation energy from raw total energies is -0.817 eV per atom. The calculation puts the total magnetization at 0.0 μB per formula unit.

It has space group I4/mmm (No. 139), with a = 7.5563 Å, b = 7.5563 Å, c = 11.6810 Å, α = 90.00°, β = 90.00° and γ = 90.00°. The asymmetric unit holds Cs at (0.0000, 0.5000, 0.2500), Ni at (0.0000, 0.0000, 0.0000), Br at (0.0000, 0.0000, 0.2039), Br at (0.2311, 0.2311, 0.0000) and Cl at (0.0000, 0.0000, 0.5000).

4.
Pu2Hg7: optimized geometry, PBE.

For the total energy, the calculation gives -31.1 eV per formula unit. As for the formation energy: -0.035 eV per atom. The calculation puts the total magnetization at 12.2 μB per formula unit.

It has space group P-31m (No. 162), with a = 5.8291 Å, b = 5.8291 Å, c = 7.8317 Å, α = 90.00°, β = 90.00° and γ = 120.00°. The asymmetric unit holds Pu at (0.3333, 0.6667, 0.0000), Hg at (0.0000, 0.0000, 0.0000) and Hg at (0.0000, 0.3290, 0.6633).

5.
Sm7Er12Pb: optimized geometry, PBE.

For the total energy, the calculation gives -90.5 eV per formula unit. As for the formation energy: 0.051 eV per atom. The calculation puts the total magnetization at 0.0 μB per formula unit.

It has space group R-3m (No. 166, hexagonal axes), with a = 13.2224 Å, b = 13.2224 Å, c = 12.5176 Å, α = 90.00°, β = 90.00° and γ = 120.00°. The asymmetric unit holds Sm at (0.0000, 0.0000, 0.0000), Sm at (0.0915, 0.1831, 0.2691), Er at (0.0000, 0.2561, 0.5000), Er at (0.0437, 0.5218, 0.6208) and Pb at (0.0000, 0.0000, 0.5000).

6.
NaTi7O12: optimized geometry, PBE.

For the total energy, the calculation gives -170.1 eV per formula unit. Its formation energy from raw total energies is -2.699 eV per atom. The calculation puts the total magnetization at 4.6 μB per formula unit.

It has space group Im-3 (No. 204), with a = 7.5499 Å, b = 7.5499 Å, c = 7.5499 Å, α = 90.00°, β = 90.00° and γ = 90.00°. The asymmetric unit holds Na at (0.0000, 0.0000, 0.0000), Ti at (0.0000, 0.0000, 0.5000), Ti at (0.2500, 0.2500, 0.2500) and O at (0.0000, 0.1888, 0.3101).